a:
Entry from the Alexandria database: a geometry-optimized Tl2C structure (PBE).

Results
* symmetry: No. 166
* DOS(E_F): 0.849 states/eV per atom
* spin magnetization: 0.03 Bohr magnetons per cell

The structure in extended XYZ format:
```
9
Lattice="3.7680 0.0000 0.0000 -1.8840 3.2632 0.0000 0.0000 0.0000 16.4321" Properties=species:S:1:pos:R:3 pbc="T T T"
Tl 0.0000 0.0000 4.0590
Tl 0.0000 0.0000 12.3731
Tl 0.0000 2.1754 6.8957
Tl 0.0000 2.1754 15.0137
Tl 1.8840 1.0877 1.4183
Tl 1.8840 1.0877 9.5364
C 0.0000 0.0000 8.2160
C 0.0000 2.1754 2.7387
C 1.8840 1.0877 13.6934
```


b:
Entry from the Alexandria database: a geometry-optimized Tl2C structure (PBE).

Results
* symmetry: No. 36
* DOS(E_F): 0.381 states/eV per atom
* spin magnetization: 0.00 Bohr magnetons per cell

The structure in extended XYZ format:
```
12
Lattice="3.7787 0.0000 0.0000 0.0000 15.1466 0.0000 0.0000 0.0000 6.1353" Properties=species:S:1:pos:R:3 pbc="T T T"
Tl 0.0000 0.6316 0.0000
Tl 0.0000 4.0139 1.7011
Tl 0.0000 11.1327 4.7688
Tl 0.0000 14.5150 3.0677
Tl 1.8894 3.5594 4.7688
Tl 1.8894 6.9417 3.0677
Tl 1.8894 8.2049 0.0000
Tl 1.8894 11.5873 1.7011
C 0.0000 2.9709 5.8701
C 0.0000 12.1758 2.8025
C 1.8894 4.6025 2.8025
C 1.8894 10.5442 5.8701
```


The structure with the least stability is a.